Arrangement a

! PBE Zr4SbAs, optimized geometry; values from VASP
&SYSTEM
  ibrav = 0, nat = 12, ntyp = 3
/
ATOMIC_SPECIES
Zr 91.22 Zr.upf
Sb 121.76 Sb.upf
As 74.92 As.upf
ATOMIC_POSITIONS crystal
Zr 0.019 0.253 0.882
Zr 0.866 0.676 0.638
Zr 0.981 0.747 0.118
Zr 0.273 0.962 0.638
Zr 0.134 0.324 0.362
Zr 0.363 0.628 0.882
Zr 0.637 0.372 0.118
Zr 0.727 0.038 0.362
Sb 0.593 0.343 0.687
Sb 0.407 0.657 0.313
As 0.723 0.973 0.946
As 0.277 0.027 0.054
CELL_PARAMETERS angstrom
6.541 0.334 0.000
-1.277 6.674 0.000
-2.632 -3.504 6.081
! * crystal system: monoclinic
! * space group: C2/c
! * density: 6.957 g cm⁻³


Arrangement b

! PBE Zr4SbAs, optimized geometry; values from VASP
&SYSTEM
  ibrav = 0, nat = 6, ntyp = 3
/
ATOMIC_SPECIES
Sb 121.76 Sb.upf
Zr 91.22 Zr.upf
As 74.92 As.upf
ATOMIC_POSITIONS crystal
Sb 0.000 0.000 0.000
Zr 0.375 0.375 0.876
Zr 0.876 0.375 0.375
Zr 0.375 0.375 0.375
Zr 0.375 0.876 0.375
As 0.750 0.750 0.750
CELL_PARAMETERS angstrom
0.000 4.077 4.077
4.077 0.000 4.077
4.077 4.077 0.000
! * crystal system: cubic
! * space group: F-43m
! * density: 6.881 g cm⁻³


Stability comparison, relative energies in kJ/mol of atoms: arrangement a 0.0; arrangement b 61.6


Arrangement a

! PBE ZrSb3As, optimized geometry; values from VASP
&SYSTEM
  ibrav = 0, nat = 5, ntyp = 3
/
ATOMIC_SPECIES
Sb 121.76 Sb.upf
Zr 91.22 Zr.upf
As 74.92 As.upf
ATOMIC_POSITIONS crystal
Sb 0.000 0.000 0.500
Sb 0.000 0.500 0.000
Sb 0.500 0.000 0.000
Zr 0.000 0.000 0.000
As 0.500 0.500 0.500
CELL_PARAMETERS angstrom
5.525 0.000 0.000
0.000 5.525 0.000
0.000 0.000 5.525
! * crystal system: cubic
! * space group: Pm-3m
! * density: 5.232 g cm⁻³


Arrangement b

! PBE ZrSb3As, optimized geometry; values from VASP
&SYSTEM
  ibrav = 0, nat = 5, ntyp = 3
/
ATOMIC_SPECIES
Sb 121.76 Sb.upf
Zr 91.22 Zr.upf
As 74.92 As.upf
ATOMIC_POSITIONS crystal
Sb 0.000 0.000 0.500
Sb 0.500 0.000 0.000
Sb 0.000 0.500 0.000
Zr 0.500 0.500 0.500
As 0.000 0.000 0.000
CELL_PARAMETERS angstrom
5.243 0.000 0.000
0.000 5.243 0.000
0.000 0.000 5.243
! * crystal system: cubic
! * space group: Pm-3m
! * density: 6.123 g cm⁻³


Stability comparison, relative energies in kJ/mol of atoms: arrangement a 0.0; arrangement b 7.8


Arrangement a

! PBE Sc5As, optimized geometry; values from VASP
&SYSTEM
  ibrav = 0, nat = 6, ntyp = 2
/
ATOMIC_SPECIES
Sc 44.96 Sc.upf
As 74.92 As.upf
ATOMIC_POSITIONS crystal
Sc 0.777 0.223 0.500
Sc 0.650 0.350 0.000
Sc 0.329 0.671 0.000
Sc 0.113 0.887 0.500
Sc 0.463 0.537 0.500
As 0.001 0.999 0.000
CELL_PARAMETERS angstrom
-5.826 3.881 -4.018
3.633 -6.534 3.044
-2.426 0.527 4.026
! * crystal system: orthorhombic
! * space group: Amm2
! * density: 3.736 g cm⁻³


Arrangement b

! PBE Sc5As, optimized geometry; values from VASP
&SYSTEM
  ibrav = 0, nat = 6, ntyp = 2
/
ATOMIC_SPECIES
Sc 44.96 Sc.upf
As 74.92 As.upf
ATOMIC_POSITIONS crystal
Sc 0.842 0.158 0.000
Sc 0.158 0.842 0.000
Sc 0.669 0.331 0.500
Sc 0.331 0.669 0.500
Sc 0.000 0.000 0.500
As 0.500 0.500 0.000
CELL_PARAMETERS angstrom
2.851 4.949 -4.376
-4.313 -1.110 5.651
3.458 0.414 2.721
! * crystal system: orthorhombic
! * space group: Cmmm
! * density: 3.812 g cm⁻³


Arrangement c

! PBE Sc5As, optimized geometry; values from VASP
&SYSTEM
  ibrav = 0, nat = 6, ntyp = 2
/
ATOMIC_SPECIES
Sc 44.96 Sc.upf
As 74.92 As.upf
ATOMIC_POSITIONS crystal
Sc 0.624 0.624 0.624
Sc 0.250 0.250 0.250
Sc 0.624 0.129 0.624
Sc 0.129 0.624 0.624
Sc 0.624 0.624 0.129
As 0.000 0.000 0.000
CELL_PARAMETERS angstrom
0.000 4.161 4.161
4.161 0.000 4.161
4.161 4.161 0.000
! * crystal system: cubic
! * space group: F-43m
! * density: 3.454 g cm⁻³


Stability comparison, relative energies in kJ/mol of atoms: arrangement a 1.0; arrangement b 0.0; arrangement c 48.1


Arrangement a

! PBE ScAs4, optimized geometry; values from VASP
&SYSTEM
  ibrav = 0, nat = 5, ntyp = 2
/
ATOMIC_SPECIES
Sc 44.96 Sc.upf
As 74.92 As.upf
ATOMIC_POSITIONS crystal
Sc 0.500 0.500 0.500
As 0.500 0.000 0.500
As 0.500 0.500 0.000
As 0.000 0.500 0.500
As 0.000 0.000 0.000
CELL_PARAMETERS angstrom
5.068 0.000 0.000
0.000 5.068 0.000
0.000 0.000 5.068
! * crystal system: cubic
! * space group: Pm-3m
! * density: 4.397 g cm⁻³


Arrangement b

! PBE ScAs4, optimized geometry; values from VASP
&SYSTEM
  ibrav = 0, nat = 5, ntyp = 2
/
ATOMIC_SPECIES
As 74.92 As.upf
Sc 44.96 Sc.upf
ATOMIC_POSITIONS crystal
As 0.500 0.000 0.000
As 0.500 0.500 0.500
As 0.000 0.000 0.500
As 0.000 0.500 0.000
Sc 0.000 0.000 0.000
CELL_PARAMETERS angstrom
-3.065 3.065 3.065
3.065 -3.065 3.065
3.065 3.065 -3.065
! * crystal system: cubic
! * space group: Im-3m
! * density: 4.968 g cm⁻³


Stability comparison, relative energies in kJ/mol of atoms: arrangement a 62.3; arrangement b 0.0


Arrangement a

! PBE Sc3As4, optimized geometry; values from VASP
&SYSTEM
  ibrav = 0, nat = 7, ntyp = 2
/
ATOMIC_SPECIES
As 74.92 As.upf
Sc 44.96 Sc.upf
ATOMIC_POSITIONS crystal
As 0.819 0.819 0.000
As 0.445 0.445 0.000
As 0.555 0.555 0.000
As 0.181 0.181 0.000
Sc 0.692 0.692 0.000
Sc 0.308 0.308 0.000
Sc 0.000 0.000 0.000
CELL_PARAMETERS angstrom
4.327 -0.706 10.447
5.670 4.174 8.877
-7.262 -0.789 -8.661
! * crystal system: tetragonal
! * space group: I4/mmm
! * density: 4.665 g cm⁻³


Arrangement b

! PBE Sc3As4, optimized geometry; values from VASP
&SYSTEM
  ibrav = 0, nat = 7, ntyp = 2
/
ATOMIC_SPECIES
Sc 44.96 Sc.upf
As 74.92 As.upf
ATOMIC_POSITIONS crystal
Sc 0.000 0.500 0.000
Sc 0.500 0.000 0.000
Sc 0.500 0.500 0.000
As 0.000 0.000 0.751
As 0.000 0.000 0.249
As 0.667 0.333 0.500
As 0.333 0.667 0.500
CELL_PARAMETERS angstrom
-2.091 -0.632 5.342
-2.762 -2.371 -4.479
2.599 -4.045 0.538
! * crystal system: hexagonal
! * space group: P6/mmm
! * density: 5.170 g cm⁻³


Stability comparison, relative energies in kJ/mol of atoms: arrangement a 0.0; arrangement b 50.7


Arrangement a

! PBE Sc4As, optimized geometry; values from VASP
&SYSTEM
  ibrav = 0, nat = 5, ntyp = 2
/
ATOMIC_SPECIES
Sc 44.96 Sc.upf
As 74.92 As.upf
ATOMIC_POSITIONS crystal
Sc 0.500 0.500 0.500
Sc 0.500 0.000 0.000
Sc 0.000 0.000 0.500
Sc 0.000 0.500 0.000
As 0.000 0.000 0.000
CELL_PARAMETERS angstrom
1.855 2.949 4.221
-4.912 1.877 -1.518
-0.433 -5.248 1.492
! * crystal system: cubic
! * space group: Im-3m
! * density: 3.352 g cm⁻³


Arrangement b

! PBE Sc4As, optimized geometry; values from VASP
&SYSTEM
  ibrav = 0, nat = 5, ntyp = 2
/
ATOMIC_SPECIES
Sc 44.96 Sc.upf
As 74.92 As.upf
ATOMIC_POSITIONS crystal
Sc 0.500 0.500 0.000
Sc 0.000 0.500 0.500
Sc 0.000 0.000 0.000
Sc 0.500 0.000 0.500
As 0.500 0.500 0.500
CELL_PARAMETERS angstrom
-2.068 -3.134 3.442
3.968 0.782 3.097
-2.434 3.938 2.124
! * crystal system: cubic
! * space group: Pm-3m
! * density: 3.201 g cm⁻³


Stability comparison, relative energies in kJ/mol of atoms: arrangement a 13.6; arrangement b 0.0


Arrangement a

! PBE Sc4As3Se, optimized geometry; values from VASP
&SYSTEM
  ibrav = 0, nat = 8, ntyp = 3
/
ATOMIC_SPECIES
Sc 44.96 Sc.upf
As 74.92 As.upf
Se 78.96 Se.upf
ATOMIC_POSITIONS crystal
Sc 0.500 0.000 0.000
Sc 0.000 0.500 0.000
Sc 0.500 0.500 0.500
Sc 0.000 0.000 0.500
As 0.000 0.500 0.500
As 0.500 0.000 0.500
As 0.500 0.500 0.000
Se 0.000 0.000 0.000
CELL_PARAMETERS angstrom
-3.463 -0.107 -4.247
-0.628 -5.406 0.648
-4.201 0.896 3.404
! * crystal system: cubic
! * space group: Pm-3m
! * density: 4.877 g cm⁻³


Arrangement b

! PBE Sc4As3Se, optimized geometry; values from VASP
&SYSTEM
  ibrav = 0, nat = 8, ntyp = 3
/
ATOMIC_SPECIES
Sc 44.96 Sc.upf
Se 78.96 Se.upf
As 74.92 As.upf
ATOMIC_POSITIONS crystal
Sc 0.500 0.747 0.253
Sc 0.500 0.253 0.747
Sc 0.000 0.257 0.257
Sc 0.000 0.743 0.743
Se 0.500 0.000 0.000
As 0.000 0.500 0.000
As 0.500 0.500 0.500
As 0.000 0.000 0.500
CELL_PARAMETERS angstrom
3.879 0.000 0.000
0.000 6.352 -2.171
0.000 -0.058 6.712
! * crystal system: orthorhombic
! * space group: Cmmm
! * density: 4.870 g cm⁻³


Stability comparison, relative energies in kJ/mol of atoms: arrangement a 1.4; arrangement b 0.0


Arrangement a

! PBE ScAsSe3, optimized geometry; values from VASP
&SYSTEM
  ibrav = 0, nat = 5, ntyp = 3
/
ATOMIC_SPECIES
Se 78.96 Se.upf
Sc 44.96 Sc.upf
As 74.92 As.upf
ATOMIC_POSITIONS crystal
Se 0.000 0.000 0.500
Se 0.500 0.000 0.000
Se 0.000 0.500 0.000
Sc 0.500 0.500 0.500
As 0.000 0.000 0.000
CELL_PARAMETERS angstrom
-4.708 -1.600 -0.315
1.506 -3.896 -2.716
0.626 -2.662 4.165
! * crystal system: cubic
! * space group: Pm-3m
! * density: 4.789 g cm⁻³


Arrangement b

! PBE ScAsSe3, optimized geometry; values from VASP
&SYSTEM
  ibrav = 0, nat = 5, ntyp = 3
/
ATOMIC_SPECIES
Sc 44.96 Sc.upf
Se 78.96 Se.upf
As 74.92 As.upf
ATOMIC_POSITIONS crystal
Sc 0.000 0.000 0.000
Se 0.000 0.500 0.000
Se 0.000 0.000 0.500
Se 0.500 0.000 0.000
As 0.500 0.500 0.500
CELL_PARAMETERS angstrom
5.108 0.000 0.000
0.000 5.108 0.000
0.000 0.000 5.108
! * crystal system: cubic
! * space group: Pm-3m
! * density: 4.445 g cm⁻³


Stability comparison, relative energies in kJ/mol of atoms: arrangement a 0.0; arrangement b 3.1


Arrangement a

! PBE ScSiAsSe2, optimized geometry; values from VASP
&SYSTEM
  ibrav = 0, nat = 5, ntyp = 4
/
ATOMIC_SPECIES
Se 78.96 Se.upf
As 74.92 As.upf
Sc 44.96 Sc.upf
Si 28.09 Si.upf
ATOMIC_POSITIONS crystal
Se 0.000 0.500 0.000
Se 0.500 0.000 0.000
As 0.000 0.000 0.500
Sc 0.000 0.000 0.000
Si 0.500 0.500 0.500
CELL_PARAMETERS angstrom
5.084 0.000 0.000
0.000 5.084 0.000
0.000 0.000 5.145
! * crystal system: tetragonal
! * space group: P4/mmm
! * density: 3.820 g cm⁻³


Arrangement b

! PBE ScSiAsSe2, optimized geometry; values from VASP
&SYSTEM
  ibrav = 0, nat = 5, ntyp = 4
/
ATOMIC_SPECIES
Se 78.96 Se.upf
As 74.92 As.upf
Sc 44.96 Sc.upf
Si 28.09 Si.upf
ATOMIC_POSITIONS crystal
Se 0.500 0.000 0.000
Se 0.000 0.000 0.500
As 0.000 0.500 0.000
Sc 0.500 0.500 0.500
Si 0.000 0.000 0.000
CELL_PARAMETERS angstrom
-3.490 -1.394 3.035
3.246 -0.836 3.349
-0.450 4.546 1.571
! * crystal system: tetragonal
! * space group: P4/mmm
! * density: 4.594 g cm⁻³


Stability comparison, relative energies in kJ/mol of atoms: arrangement a 23.8; arrangement b 0.0


Arrangement a

! PBE ScSnAs2Se, optimized geometry; values from VASP
&SYSTEM
  ibrav = 0, nat = 5, ntyp = 4
/
ATOMIC_SPECIES
As 74.92 As.upf
Se 78.96 Se.upf
Sn 118.71 Sn.upf
Sc 44.96 Sc.upf
ATOMIC_POSITIONS crystal
As 0.500 0.000 0.000
As 0.000 0.500 0.000
Se 0.000 0.000 0.500
Sn 0.000 0.000 0.000
Sc 0.500 0.500 0.500
CELL_PARAMETERS angstrom
5.148 0.000 0.000
0.000 5.148 0.000
0.000 0.000 5.252
! * crystal system: tetragonal
! * space group: P4/mmm
! * density: 4.681 g cm⁻³


Arrangement b

! PBE ScSnAs2Se, optimized geometry; values from VASP
&SYSTEM
  ibrav = 0, nat = 5, ntyp = 4
/
ATOMIC_SPECIES
Sn 118.71 Sn.upf
As 74.92 As.upf
Se 78.96 Se.upf
Sc 44.96 Sc.upf
ATOMIC_POSITIONS crystal
Sn 0.500 0.500 0.500
As 0.000 0.500 0.000
As 0.500 0.000 0.000
Se 0.000 0.000 0.500
Sc 0.000 0.000 0.000
CELL_PARAMETERS angstrom
-2.128 -4.563 0.963
4.659 -2.029 0.677
-0.223 1.163 5.015
! * crystal system: tetragonal
! * space group: P4/mmm
! * density: 4.813 g cm⁻³


Stability comparison, relative energies in kJ/mol of atoms: arrangement a 45.2; arrangement b 0.0


Arrangement a

! PBE SrScAs2Se, optimized geometry; values from VASP
&SYSTEM
  ibrav = 0, nat = 5, ntyp = 4
/
ATOMIC_SPECIES
Se 78.96 Se.upf
Sr 87.62 Sr.upf
As 74.92 As.upf
Sc 44.96 Sc.upf
ATOMIC_POSITIONS crystal
Se 0.000 0.000 0.500
Sr 0.500 0.500 0.500
As 0.500 0.000 0.000
As 0.000 0.500 0.000
Sc 0.000 0.000 0.000
CELL_PARAMETERS angstrom
-0.459 3.200 3.982
3.831 -2.429 2.394
3.455 3.260 -2.221
! * crystal system: tetragonal
! * space group: P4/mmm
! * density: 4.350 g cm⁻³


Arrangement b

! PBE SrScAs2Se, optimized geometry; values from VASP
&SYSTEM
  ibrav = 0, nat = 5, ntyp = 4
/
ATOMIC_SPECIES
As 74.92 As.upf
Sc 44.96 Sc.upf
Sr 87.62 Sr.upf
Se 78.96 Se.upf
ATOMIC_POSITIONS crystal
As 0.500 0.000 0.000
As 0.000 0.500 0.000
Sc 0.500 0.500 0.500
Sr 0.000 0.000 0.000
Se 0.000 0.000 0.500
CELL_PARAMETERS angstrom
-2.344 0.879 -4.807
1.715 -4.845 -1.722
-4.660 -2.308 1.851
! * crystal system: tetragonal
! * space group: P4/mmm
! * density: 3.700 g cm⁻³


Stability comparison, relative energies in kJ/mol of atoms: arrangement a 0.0; arrangement b 122.2


Arrangement a

! PBE ScTcAs2Se, optimized geometry; values from VASP
&SYSTEM
  ibrav = 0, nat = 5, ntyp = 4
/
ATOMIC_SPECIES
As 74.92 As.upf
Sc 44.96 Sc.upf
Se 78.96 Se.upf
Tc 98.00 Tc.upf
ATOMIC_POSITIONS crystal
As 0.500 0.000 0.000
As 0.000 0.500 0.000
Sc 0.000 0.000 0.000
Se 0.000 0.000 0.500
Tc 0.500 0.500 0.500
CELL_PARAMETERS angstrom
-0.364 -4.529 -2.274
4.989 -0.720 0.636
-0.880 -2.166 4.454
! * crystal system: tetragonal
! * space group: P4/mmm
! * density: 4.754 g cm⁻³


Arrangement b

! PBE ScTcAs2Se, optimized geometry; values from VASP
&SYSTEM
  ibrav = 0, nat = 5, ntyp = 4
/
ATOMIC_SPECIES
Sc 44.96 Sc.upf
As 74.92 As.upf
Se 78.96 Se.upf
Tc 98.00 Tc.upf
ATOMIC_POSITIONS crystal
Sc 0.500 0.500 0.500
As 0.500 0.000 0.000
As 0.000 0.500 0.000
Se 0.000 0.000 0.500
Tc 0.000 0.000 0.000
CELL_PARAMETERS angstrom
4.649 0.000 0.000
0.000 4.649 0.000
0.000 0.000 5.430
! * crystal system: tetragonal
! * space group: P4/mmm
! * density: 5.260 g cm⁻³


Stability comparison, relative energies in kJ/mol of atoms: arrangement a 56.0; arrangement b 0.0


Arrangement a

! PBE ScTeAs2Se, optimized geometry; values from VASP
&SYSTEM
  ibrav = 0, nat = 5, ntyp = 4
/
ATOMIC_SPECIES
As 74.92 As.upf
Te 127.60 Te.upf
Sc 44.96 Sc.upf
Se 78.96 Se.upf
ATOMIC_POSITIONS crystal
As 0.000 0.500 0.000
As 0.500 0.000 0.000
Te 0.000 0.000 0.000
Sc 0.500 0.500 0.500
Se 0.000 0.000 0.500
CELL_PARAMETERS angstrom
-2.583 -1.160 -4.388
4.533 -0.918 -2.426
-0.234 -5.046 1.472
! * crystal system: tetragonal
! * space group: P4/mmm
! * density: 4.644 g cm⁻³


Arrangement b

! PBE ScTeAs2Se, optimized geometry; values from VASP
&SYSTEM
  ibrav = 0, nat = 5, ntyp = 4
/
ATOMIC_SPECIES
Sc 44.96 Sc.upf
Te 127.60 Te.upf
As 74.92 As.upf
Se 78.96 Se.upf
ATOMIC_POSITIONS crystal
Sc 0.000 0.000 0.000
Te 0.500 0.500 0.500
As 0.500 0.000 0.000
As 0.000 0.500 0.000
Se 0.000 0.000 0.500
CELL_PARAMETERS angstrom
5.229 0.000 0.000
0.000 5.229 0.000
0.000 0.000 4.965
! * crystal system: tetragonal
! * space group: P4/mmm
! * density: 4.909 g cm⁻³


Stability comparison, relative energies in kJ/mol of atoms: arrangement a 39.4; arrangement b 0.0